(1)
Here is HgSeS after structural relaxation from Alexandria via LeMat-Bulk. Energies are from PBE-GGA.

- SG: P-1 (2)
- Crystal system: triclinic
- E_form (uncorrected): 0.130 eV/atom

Structure (POSCAR):
```
HgSeS
1.0
-4.2384 -1.5665 3.4639
1.3225 -4.1501 -0.2736
5.7374 5.4199 4.3103
S Hg Se
2 2 2
Cartesian
-0.4087 -2.8079 1.0919 S
0.0213 0.6562 1.9591 S
4.5750 1.1582 3.4316 Hg
2.0961 -2.0415 3.6577 Hg
-0.0594 -2.5400 5.4422 Se
2.4918 0.0906 5.1105 Se
```

---

(2)
Here is Er2CuGe2Rh5 after structural relaxation from Alexandria via LeMat-Bulk. Energies are from PBE-GGA.

- SG: P4/mbm (127)
- Crystal system: tetragonal
- Energy of formation: -694 meV/atom

Structure (POSCAR):
```
Er2CuGe2Rh5
1.0
-2.5778 1.7398 -1.6541
-5.2680 -0.0642 8.1423
3.9914 8.4324 2.6489
Rh Er Cu Ge
10 4 2 4
Cartesian
-0.5962 5.6183 3.0879 Rh
-1.7564 8.6998 8.1372 Rh
-2.3935 3.3454 3.4982 Rh
-3.2582 4.4896 6.0492 Rh
-5.4017 2.5226 7.3210 Rh
-1.4609 6.7625 5.6390 Rh
1.5474 7.5853 1.8162 Rh
-3.9229 0.8378 3.2441 Rh
0.7068 5.0861 0.4974 Rh
-2.0979 1.4082 1.0000 Rh
-1.6786 5.6144 8.5213 Er
1.5771 6.9600 4.8627 Er
0.4020 2.7538 2.2700 Er
-2.8537 1.4082 5.9285 Er
-0.6383 4.1841 5.3956 Cu
0.0000 0.0000 0.0000 Cu
-3.1085 3.0786 8.0826 Ge
1.8320 5.2895 2.7086 Ge
0.1697 7.3104 7.4247 Ge
-1.4463 1.0577 3.3665 Ge
```

---

(3)
Here is NaBeSn3 after structural relaxation from Alexandria via LeMat-Bulk. Energies are from PBE-GGA.

- SG: Pm-3m (221)
- Crystal system: cubic
- Energy of formation: 213 meV/atom

Structure (POSCAR):
```
NaBeSn3
1.0
5.0576 0.0000 0.0000
0.0000 5.0576 0.0000
0.0000 0.0000 5.0576
Sn Be Na
3 1 1
Cartesian
0.0000 0.0000 2.5288 Sn
0.0000 2.5288 0.0000 Sn
2.5288 0.0000 0.0000 Sn
0.0000 0.0000 0.0000 Be
2.5288 2.5288 2.5288 Na
```

---

Record order is preserved below.
Theoretical density: 5.5 10.6 5.0 g/cm3